# 1
{
  "formula": "TbSm8Sc3",
  "functional": "PBE",
  "state": "relaxed",
  "lattice": [[-3.332, 5.410, 5.712], [3.332, -5.410, 5.712], [3.332, 5.410, -5.712]],
  "species": ["Tb", "Sm", "Sm", "Sm", "Sm", "Sm", "Sm", "Sm", "Sm", "Sc", "Sc", "Sc"],
  "fractional_positions": [[0.000, 0.000, 0.000], [0.088, 0.253, 0.835], [0.285, 0.225, 0.511], [0.285, 0.775, 0.060], [0.417, 0.253, 0.165], [0.583, 0.747, 0.835], [0.715, 0.225, 0.940], [0.715, 0.775, 0.489], [0.912, 0.747, 0.165], [0.286, 0.786, 0.500], [0.500, 0.500, 0.000], [0.714, 0.214, 0.500]],
  "magnetic_moment_mub_per_fu": 0.000,
  "mass_density_g_cm3": 6.0,
  "n_ef_per_ev_cell": 19.19,
  "dft_energy_ev_per_atom": -4.71,
  "formation_energy_mev_per_atom": 405,
  "spacegroup": "Immm, No. 71"
}

***

# 2
{
  "formula": "Tb4Sm5Sc2",
  "functional": "PBE",
  "state": "relaxed",
  "lattice": [[-1.734, 4.599, 11.358], [1.734, -4.599, 11.358], [1.734, 4.599, -11.358]],
  "species": ["Tb", "Tb", "Tb", "Tb", "Sm", "Sm", "Sm", "Sm", "Sm", "Sc", "Sc"],
  "fractional_positions": [[0.099, 0.099, 0.000], [0.193, 0.500, 0.693], [0.807, 0.500, 0.307], [0.901, 0.901, 0.000], [0.140, 0.347, 0.794], [0.447, 0.653, 0.794], [0.500, 0.000, 0.500], [0.553, 0.347, 0.206], [0.860, 0.653, 0.206], [0.230, 0.230, 0.000], [0.770, 0.770, 0.000]],
  "de_polymorph_kj_per_mol_atoms": 19.2,
  "magnetic_moment_mub_per_fu": 0.001,
  "mass_density_g_cm3": 6.8,
  "n_ef_per_ev_cell": 18.07,
  "dft_energy_ev_per_atom": -4.73,
  "formation_energy_mev_per_atom": 249,
  "spacegroup": "Immm, No. 71"
}